{"formula": "Zn2PW", "functional": "PBE-GGA", "state": "relaxed", "cell": [[1.575, 4.289, 0.622], [-1.575, 4.289, 0.622], [0.000, 1.108, 4.580]], "species": ["Zn", "Zn", "P", "W"], "fractional_positions": [[0.004, 0.004, 0.965], [0.763, 0.763, 0.803], [0.508, 0.508, 0.381], [0.225, 0.225, 0.351]], "total_energy_ev_per_atom": -5.191, "n_ef_per_ev_fu": 2.1}